No. 1
A plane-wave DFT calculation with PBE was carried out for Pr2NdHo2Tm after structural relaxation.

Properties
* formation enthalpy at 0 K: 0.06 eV per atom
* D(E_F): 1.533 states/eV per atom
* final energy: -4.596 eV per atom

a = 5.698 Å, b = 7.073 Å, c = 9.867 Å
α = 90.00°, β = 90.00°, γ = 90.00°
Sites, in units of the cell vectors:
Pr  0.500  0.008  0.000
Pr  0.000  0.258  0.179
Pr  0.500  0.508  0.000
Pr  0.000  0.758  0.821
Nd  0.500  0.258  0.655
Nd  0.500  0.758  0.345
Ho  0.000  0.258  0.836
Ho  0.500  0.257  0.330
Ho  0.000  0.758  0.164
Ho  0.500  0.757  0.670
Tm  0.000  0.008  0.500
Tm  0.000  0.508  0.500



No. 2
A plane-wave DFT calculation with PBE was carried out for PrNdHoTm3 after structural relaxation.

Properties
* formation enthalpy at 0 K: 0.11 eV per atom
* D(E_F): 2.030 states/eV per atom
* final energy: -4.480 eV per atom

a = 5.832 Å, b = 6.390 Å, c = 11.675 Å
α = 90.00°, β = 90.00°, γ = 117.15°
Sites, in units of the cell vectors:
Pr  0.000  0.000  0.500
Pr  0.000  0.000  0.000
Nd  0.503  0.006  0.750
Nd  0.497  0.994  0.250
Ho  0.825  0.649  0.750
Ho  0.175  0.351  0.250
Tm  0.673  0.346  0.497
Tm  0.327  0.654  0.503
Tm  0.327  0.654  0.997
Tm  0.673  0.346  0.003
Tm  0.172  0.344  0.750
Tm  0.828  0.656  0.250



No. 3
A plane-wave DFT calculation with PBE was carried out for Pr6Nd3Ho2Tm after structural relaxation.

Properties
* formation enthalpy at 0 K: 0.02 eV per atom
* D(E_F): 1.277 states/eV per atom
* final energy: -4.702 eV per atom

a = 6.352 Å, b = 6.352 Å, c = 12.025 Å
α = 95.05°, β = 95.05°, γ = 120.02°
Sites, in units of the cell vectors:
Pr  0.918  0.585  0.755
Pr  0.749  0.749  0.245
Pr  0.082  0.415  0.245
Pr  0.585  0.918  0.755
Pr  0.251  0.251  0.755
Pr  0.415  0.082  0.245
Nd  0.167  0.833  0.500
Nd  0.833  0.167  0.500
Nd  0.500  0.500  0.500
Ho  0.333  0.667  0.000
Ho  0.667  0.333  0.000
Tm  0.000  0.000  0.000



No. 4
A plane-wave DFT calculation with PBE was carried out for Pr6NdHoTm2 after structural relaxation.

Properties
* formation enthalpy at 0 K: 0.11 eV per atom
* D(E_F): 1.464 states/eV per atom
* final energy: -4.584 eV per atom

a = 9.705 Å, b = 8.983 Å, c = 8.983 Å
α = 116.88°, β = 93.72°, γ = 93.72°
Sites, in units of the cell vectors:
Pr  0.055  0.112  0.761
Pr  0.445  0.239  0.888
Pr  0.945  0.888  0.239
Pr  0.555  0.761  0.112
Pr  0.314  0.995  0.440
Pr  0.186  0.560  0.005
Pr  0.686  0.005  0.560
Pr  0.814  0.440  0.995
Pr  0.117  0.704  0.485
Pr  0.383  0.515  0.296
Pr  0.883  0.296  0.515
Pr  0.617  0.485  0.704
Nd  0.250  0.969  0.031
Nd  0.750  0.031  0.969
Ho  0.250  0.411  0.589
Ho  0.750  0.589  0.411
Tm  0.450  0.798  0.703
Tm  0.050  0.297  0.202
Tm  0.550  0.202  0.297
Tm  0.950  0.703  0.798



The lowest formation enthalpy at 0 K belongs to which entry?
Pr6Nd3Ho2Tm



Which value of final energy does entry 2 give?
-4.480 eV per atom



Copy entry 4 word for word.
A plane-wave DFT calculation with PBE was carried out for Pr6NdHoTm2 after structural relaxation.

Properties
* formation enthalpy at 0 K: 0.11 eV per atom
* D(E_F): 1.464 states/eV per atom
* final energy: -4.584 eV per atom

a = 9.705 Å, b = 8.983 Å, c = 8.983 Å
α = 116.88°, β = 93.72°, γ = 93.72°
Sites, in units of the cell vectors:
Pr  0.055  0.112  0.761
Pr  0.445  0.239  0.888
Pr  0.945  0.888  0.239
Pr  0.555  0.761  0.112
Pr  0.314  0.995  0.440
Pr  0.186  0.560  0.005
Pr  0.686  0.005  0.560
Pr  0.814  0.440  0.995
Pr  0.117  0.704  0.485
Pr  0.383  0.515  0.296
Pr  0.883  0.296  0.515
Pr  0.617  0.485  0.704
Nd  0.250  0.969  0.031
Nd  0.750  0.031  0.969
Ho  0.250  0.411  0.589
Ho  0.750  0.589  0.411
Tm  0.450  0.798  0.703
Tm  0.050  0.297  0.202
Tm  0.550  0.202  0.297
Tm  0.950  0.703  0.798



Among the records above, which one has the highest final energy?
PrNdHoTm3